1.
{"formula": "LiCd2", "functional": "SCAN", "state": "PBEsol geometry", "formation_enthalpy_0k_ev_per_atom": -0.147, "sg": "P-3m1", "total_magnetization_mub_per_fu": 0.000, "cell": [[3.0174, 0.0000, 0.0000], [-1.5087, 2.6132, 0.0000], [0.0000, 0.0000, 7.3063]], "species": ["Li", "Cd", "Cd"], "fractional_positions": [[0.0000, 0.0000, 0.0000], [0.3333, 0.6667, 0.3192], [0.6667, 0.3333, 0.6808]]}



2.
{"formula": "Li5Cd3", "functional": "SCAN", "state": "PBEsol geometry", "formation_enthalpy_0k_ev_per_atom": -0.262, "sg": "Cmmm", "total_magnetization_mub_per_fu": 0.000, "cell": [[3.2706, -4.6103, 0.0000], [3.2706, 4.6103, 0.0000], [0.0000, 0.0000, 4.6025]], "species": ["Li", "Li", "Li", "Li", "Li", "Cd", "Cd", "Cd"], "fractional_positions": [[0.0000, 0.0000, 0.0000], [0.0000, 0.5000, 0.0000], [0.2477, 0.2477, 0.5000], [0.5000, 0.0000, 0.0000], [0.7523, 0.7523, 0.5000], [0.2542, 0.7458, 0.5000], [0.5000, 0.5000, 0.0000], [0.7458, 0.2542, 0.5000]]}



3.
{"formula": "Li2Cd", "functional": "SCAN", "state": "PBEsol geometry", "formation_enthalpy_0k_ev_per_atom": -0.224, "sg": "P-62m", "total_magnetization_mub_per_fu": 0.000, "cell": [[8.0825, 0.0000, 0.0000], [-4.0413, 6.9997, 0.0000], [0.0000, 0.0000, 2.9210]], "species": ["Li", "Li", "Li", "Li", "Li", "Li", "Cd", "Cd", "Cd"], "fractional_positions": [[0.0000, 0.3645, 0.0000], [0.0000, 0.6980, 0.5000], [0.3020, 0.3020, 0.5000], [0.3645, 0.0000, 0.0000], [0.6355, 0.6355, 0.0000], [0.6980, 0.0000, 0.5000], [0.0000, 0.0000, 0.0000], [0.3333, 0.6667, 0.5000], [0.6667, 0.3333, 0.5000]]}



4.
{"formula": "Li2Cd", "functional": "SCAN", "state": "PBEsol geometry", "formation_enthalpy_0k_ev_per_atom": -0.260, "sg": "P6/mmm", "total_magnetization_mub_per_fu": 0.000, "cell": [[4.5868, 0.0000, 0.0000], [-2.2934, 3.9723, 0.0000], [0.0000, 0.0000, 2.8447]], "species": ["Li", "Li", "Cd"], "fractional_positions": [[0.3333, 0.6667, 0.0000], [0.6667, 0.3333, 0.0000], [0.0000, 0.0000, 0.5000]]}



5.
{"formula": "LiCd3", "functional": "SCAN", "state": "PBEsol geometry", "formation_enthalpy_0k_ev_per_atom": -0.136, "sg": "P-6m2", "total_magnetization_mub_per_fu": 0.000, "cell": [[3.0556, 0.0000, 0.0000], [-1.5278, 2.6463, 0.0000], [0.0000, 0.0000, 9.6200]], "species": ["Li", "Cd", "Cd", "Cd"], "fractional_positions": [[0.0000, 0.0000, 0.0000], [0.0000, 0.0000, 0.5000], [0.6667, 0.3333, 0.2346], [0.6667, 0.3333, 0.7654]]}



6.
{"formula": "Li2Cd", "functional": "SCAN", "state": "PBEsol geometry", "formation_enthalpy_0k_ev_per_atom": -0.237, "sg": "I4_1/amd", "total_magnetization_mub_per_fu": 0.040, "cell": [[-2.0977, 2.0977, 12.1676], [2.0977, -2.0977, 12.1676], [2.0977, 2.0977, -12.1676]], "species": ["Li", "Li", "Li", "Li", "Li", "Li", "Li", "Li", "Cd", "Cd", "Cd", "Cd"], "fractional_positions": [[0.1245, 0.3745, 0.7500], [0.2890, 0.5390, 0.7500], [0.3745, 0.1245, 0.2500], [0.4610, 0.7110, 0.7500], [0.5390, 0.2890, 0.2500], [0.6255, 0.8755, 0.7500], [0.7110, 0.4610, 0.2500], [0.8755, 0.6255, 0.2500], [0.0439, 0.7939, 0.2500], [0.2061, 0.9561, 0.2500], [0.7939, 0.0439, 0.7500], [0.9561, 0.2061, 0.7500]]}



7.
{"formula": "Li4Cd5", "functional": "SCAN", "state": "PBEsol geometry", "formation_enthalpy_0k_ev_per_atom": -0.241, "sg": "I4/mmm", "total_magnetization_mub_per_fu": 0.000, "cell": [[-4.3278, 4.3278, 2.2335], [4.3278, -4.3278, 2.2335], [4.3278, 4.3278, -2.2335]], "species": ["Li", "Li", "Li", "Li", "Cd", "Cd", "Cd", "Cd", "Cd"], "fractional_positions": [[0.0000, 0.3238, 0.3238], [0.0000, 0.6762, 0.6762], [0.3238, 0.0000, 0.3238], [0.6762, 0.0000, 0.6762], [0.0000, 0.0000, 0.0000], [0.3293, 0.3293, 0.6586], [0.3293, 0.6707, 0.0000], [0.6707, 0.3293, 0.0000], [0.6707, 0.6707, 0.3414]]}



8.
{"formula": "LiCd3", "functional": "SCAN", "state": "PBEsol geometry", "formation_enthalpy_0k_ev_per_atom": -0.151, "sg": "C2/m", "total_magnetization_mub_per_fu": 0.000, "cell": [[4.8802, -1.5447, 0.0000], [4.8802, 1.5447, 0.0000], [-0.7991, 0.0000, 5.1575]], "species": ["Li", "Cd", "Cd", "Cd"], "fractional_positions": [[0.0000, 0.0000, 0.0000], [0.2508, 0.2508, 0.7577], [0.5000, 0.5000, 0.5000], [0.7492, 0.7492, 0.2423]]}



9.
{"formula": "LiCd3", "functional": "SCAN", "state": "PBEsol geometry", "formation_enthalpy_0k_ev_per_atom": -0.137, "sg": "Cmmm", "total_magnetization_mub_per_fu": 0.000, "cell": [[2.9796, -4.1684, 0.0000], [2.9796, 4.1684, 0.0000], [0.0000, 0.0000, 3.1590]], "species": ["Li", "Cd", "Cd", "Cd"], "fractional_positions": [[0.0000, 0.0000, 0.0000], [0.0000, 0.5000, 0.5000], [0.5000, 0.0000, 0.5000], [0.5000, 0.5000, 0.0000]]}



10.
{"formula": "Li2Cd", "functional": "SCAN", "state": "PBEsol geometry", "formation_enthalpy_0k_ev_per_atom": -0.190, "sg": "I4/mcm", "total_magnetization_mub_per_fu": 0.000, "cell": [[-3.2560, 3.2560, 2.8244], [3.2560, -3.2560, 2.8244], [3.2560, 3.2560, -2.8244]], "species": ["Li", "Li", "Li", "Li", "Cd", "Cd"], "fractional_positions": [[0.1573, 0.6573, 0.8147], [0.3427, 0.1573, 0.5000], [0.6573, 0.8427, 0.5000], [0.8427, 0.3427, 0.1853], [0.2500, 0.2500, 0.0000], [0.7500, 0.7500, 0.0000]]}



11.
{"formula": "LiCd3", "functional": "SCAN", "state": "PBEsol geometry", "formation_enthalpy_0k_ev_per_atom": -0.194, "sg": "I4/mmm", "total_magnetization_mub_per_fu": 0.000, "cell": [[-2.2555, 2.2555, 3.7576], [2.2555, -2.2555, 3.7576], [2.2555, 2.2555, -3.7576]], "species": ["Li", "Cd", "Cd", "Cd"], "fractional_positions": [[0.0000, 0.0000, 0.0000], [0.2500, 0.7500, 0.5000], [0.5000, 0.5000, 0.0000], [0.7500, 0.2500, 0.5000]]}



12.
{"formula": "LiCd3", "functional": "SCAN", "state": "PBEsol geometry", "formation_enthalpy_0k_ev_per_atom": -0.163, "sg": "P2/m", "total_magnetization_mub_per_fu": 0.000, "cell": [[2.9711, 0.0000, 0.0000], [0.0000, 4.2529, 0.0000], [-0.0720, 0.0000, 6.1113]], "species": ["Li", "Cd", "Cd", "Cd"], "fractional_positions": [[0.0000, 0.0000, 0.0000], [0.0000, 0.0000, 0.5000], [0.5000, 0.5000, 0.2385], [0.5000, 0.5000, 0.7615]]}



13.
{"formula": "LiCd2", "functional": "SCAN", "state": "PBEsol geometry", "formation_enthalpy_0k_ev_per_atom": -0.214, "sg": "P6/mmm", "total_magnetization_mub_per_fu": 0.000, "cell": [[4.8336, 0.0000, 0.0000], [-2.4168, 4.1860, 0.0000], [0.0000, 0.0000, 2.9536]], "species": ["Li", "Cd", "Cd"], "fractional_positions": [[0.0000, 0.0000, 0.0000], [0.3333, 0.6667, 0.5000], [0.6667, 0.3333, 0.5000]]}



14.
{"formula": "LiCd2", "functional": "SCAN", "state": "PBEsol geometry", "formation_enthalpy_0k_ev_per_atom": -0.146, "sg": "Fd-3m", "total_magnetization_mub_per_fu": 0.000, "cell": [[0.0000, 6.0539, 6.0539], [6.0539, 0.0000, 6.0539], [6.0539, 6.0539, 0.0000]], "species": ["Li", "Li", "Li", "Li", "Li", "Li", "Li", "Li", "Cd", "Cd", "Cd", "Cd", "Cd", "Cd", "Cd", "Cd", "Cd", "Cd", "Cd", "Cd", "Cd", "Cd", "Cd", "Cd"], "fractional_positions": [[0.1439, 0.7854, 0.7854], [0.2146, 0.2146, 0.2146], [0.2146, 0.2146, 0.8561], [0.2146, 0.8561, 0.2146], [0.7854, 0.1439, 0.7854], [0.7854, 0.7854, 0.1439], [0.7854, 0.7854, 0.7854], [0.8561, 0.2146, 0.2146], [0.0000, 0.0000, 0.0000], [0.0000, 0.0000, 0.5000], [0.0000, 0.5000, 0.0000], [0.1880, 0.1880, 0.5620], [0.1880, 0.5620, 0.1880], [0.1880, 0.5620, 0.5620], [0.4380, 0.4380, 0.8120], [0.4380, 0.8120, 0.4380], [0.4380, 0.8120, 0.8120], [0.5000, 0.0000, 0.0000], [0.5620, 0.1880, 0.1880], [0.5620, 0.1880, 0.5620], [0.5620, 0.5620, 0.1880], [0.8120, 0.4380, 0.4380], [0.8120, 0.4380, 0.8120], [0.8120, 0.8120, 0.4380]]}



15.
{"formula": "Li5Cd", "functional": "SCAN", "state": "PBEsol geometry", "formation_enthalpy_0k_ev_per_atom": -0.060, "sg": "F-43m", "total_magnetization_mub_per_fu": 0.188, "cell": [[0.0000, 3.7864, 3.7864], [3.7864, 0.0000, 3.7864], [3.7864, 3.7864, 0.0000]], "species": ["Li", "Li", "Li", "Li", "Li", "Cd"], "fractional_positions": [[0.0000, 0.0000, 0.0000], [0.1280, 0.6240, 0.6240], [0.6240, 0.1280, 0.6240], [0.6240, 0.6240, 0.1280], [0.6240, 0.6240, 0.6240], [0.2500, 0.2500, 0.2500]]}



16.
{"formula": "LiCd3", "functional": "SCAN", "state": "PBEsol geometry", "formation_enthalpy_0k_ev_per_atom": -0.162, "sg": "Imm2", "total_magnetization_mub_per_fu": 0.000, "cell": [[-1.5709, 4.7919, 2.5694], [1.5709, -4.7919, 2.5694], [1.5709, 4.7919, -2.5694]], "species": ["Li", "Cd", "Cd", "Cd"], "fractional_positions": [[0.0000, 0.0000, 0.0000], [0.4043, 0.6552, 0.7491], [0.4953, 0.9953, 0.5000], [0.9061, 0.6552, 0.2509]]}



17.
{"formula": "LiCd3", "functional": "SCAN", "state": "PBEsol geometry", "formation_enthalpy_0k_ev_per_atom": -0.218, "sg": "Pmmn", "total_magnetization_mub_per_fu": 0.000, "cell": [[4.8245, 0.0000, 0.0000], [0.0000, 6.1158, 0.0000], [0.0000, 0.0000, 5.1613]], "species": ["Li", "Li", "Cd", "Cd", "Cd", "Cd", "Cd", "Cd"], "fractional_positions": [[0.2500, 0.2500, 0.1673], [0.7500, 0.7500, 0.8327], [0.2500, 0.5007, 0.6749], [0.2500, 0.7500, 0.1673], [0.2500, 0.9993, 0.6749], [0.7500, 0.0007, 0.3251], [0.7500, 0.2500, 0.8327], [0.7500, 0.4993, 0.3251]]}



18.
{"formula": "LiCd3", "functional": "SCAN", "state": "PBEsol geometry", "formation_enthalpy_0k_ev_per_atom": -0.172, "sg": "Pmm2", "total_magnetization_mub_per_fu": 0.000, "cell": [[3.1269, 0.0000, 0.0000], [0.0000, 4.7211, 0.0000], [0.0000, 0.0000, 5.2415]], "species": ["Li", "Cd", "Cd", "Cd"], "fractional_positions": [[0.0000, 0.0000, 0.0000], [0.0000, 0.5000, 0.6739], [0.5000, 0.0000, 0.4874], [0.5000, 0.5000, 0.1537]]}



19.
{"formula": "Li2Cd", "functional": "SCAN", "state": "PBEsol geometry", "formation_enthalpy_0k_ev_per_atom": -0.127, "sg": "P-3m1", "total_magnetization_mub_per_fu": 0.004, "cell": [[3.0278, 0.0000, 0.0000], [-1.5139, 2.6221, 0.0000], [0.0000, 0.0000, 7.2176]], "species": ["Li", "Li", "Cd"], "fractional_positions": [[0.3333, 0.6667, 0.3259], [0.6667, 0.3333, 0.6741], [0.0000, 0.0000, 0.0000]]}



20.
{"formula": "LiCd3", "functional": "SCAN", "state": "PBEsol geometry", "formation_enthalpy_0k_ev_per_atom": -0.109, "sg": "R-3m", "total_magnetization_mub_per_fu": 0.000, "cell": [[1.5277, 0.8820, 9.7230], [-1.5277, 0.8820, 9.7230], [0.0000, -1.7641, 9.7230]], "species": ["Li", "Cd", "Cd", "Cd"], "fractional_positions": [[0.0000, 0.0000, 0.0000], [0.2548, 0.2548, 0.2548], [0.5000, 0.5000, 0.5000], [0.7452, 0.7452, 0.7452]]}